VASP calculation (GGA-PBE) on an optimized crystal structure of CrSiAu2.

Properties
Uncorrected formation energy: 0.122 eV per atom

a b c (Å): 2.918 2.918 7.349
angles (deg): 90.00 90.00 90.01
Each line ends with the local moment (μB).
Positions (direct):
Cr1 0.000 0.000 0.534  2.37
Au1 0.000 0.000 0.971  0.01
Au2 0.500 0.500 0.274  0.05
Si1 0.500 0.500 0.721  -0.01

=====

VASP calculation (GGA-PBE) on an optimized crystal structure of LaAlSbTe2.

Properties
Relative energy among the computed polymorphs: 585 meV/atom
Uncorrected formation energy: 0.182 eV per atom

a b c (Å): 6.139 6.139 6.142
angles (deg): 90.00 90.00 90.00
Each line ends with the local moment (μB).
Positions (direct):
La1 0.000 0.000 0.000  0.03
Te1 0.500 0.000 0.000  0.06
Al1 0.500 0.500 0.500  0.00
Sb1 0.000 0.000 0.500  0.23
Te2 0.000 0.500 0.000  0.06

=====

VASP calculation (GGA-PBE) on an optimized crystal structure of Be2TeIr.

Properties
Uncorrected formation energy: 0.173 eV per atom

a b c (Å): 3.112 3.112 6.367
angles (deg): 90.00 90.00 90.00
Positions (direct):
Ir1 0.000 0.000 0.383
Be1 0.500 0.500 0.260
Te1 0.500 0.500 0.807
Be2 0.000 0.000 0.050

=====

VASP calculation (GGA-PBE) on an optimized crystal structure of MnRh3I.

Properties
Relative energy among the computed polymorphs: 0 meV/atom
Uncorrected formation energy: 0.999 eV per atom

a b c (Å): 4.538 4.538 4.538
angles (deg): 90.00 90.00 90.00
Positions (direct):
Rh1 0.500 0.000 0.000
Rh2 0.000 0.500 0.000
I1 0.500 0.500 0.500
Mn1 0.000 0.000 0.000
Rh3 0.000 0.000 0.500

=====

VASP calculation (GGA-PBE) on an optimized crystal structure of Tb9Sm4Er11.

Properties
ΔE_f: 0.05 eV per atom

a b c (Å): 3.676 15.017 15.017
angles (deg): 112.79 90.00 90.00
Positions (direct):
Sm1 0.500 0.245 0.446
Er1 0.000 0.635 0.365
Sm2 0.500 0.446 0.245
Tb1 0.500 0.367 0.838
Tb2 0.500 0.633 0.162
Er2 0.000 0.712 0.712
Tb3 0.500 0.933 0.787
Tb4 0.500 0.162 0.633
Sm3 0.500 0.755 0.554
Er3 0.000 0.045 0.407
Tb5 0.500 0.838 0.367
Er4 0.000 0.365 0.635
Er5 0.000 0.000 0.000
Er6 0.000 0.841 0.159
Er7 0.000 0.159 0.841
Sm4 0.500 0.554 0.755
Er8 0.000 0.288 0.288
Er9 0.000 0.955 0.593
Tb6 0.500 0.213 0.067
Er10 0.000 0.407 0.045
Tb7 0.500 0.787 0.933
Tb8 0.500 0.067 0.213
Tb9 0.500 0.500 0.500
Er11 0.000 0.593 0.955

=====

VASP calculation (GGA-PBE) on an optimized crystal structure of CaPrSc2.

Properties
ΔE_f: 0.15 eV per atom
Relative energy among the computed polymorphs: 0 meV/atom

a b c (Å): 3.498 3.498 11.650
angles (deg): 81.37 81.37 60.00
Positions (direct):
Pr1 0.666 0.666 0.001
Sc1 0.080 0.080 0.760
Ca1 0.500 0.500 0.499
Sc2 0.253 0.253 0.240

=====

VASP calculation (GGA-PBE) on an optimized crystal structure of La2AlAu.

Properties
ΔE_f: -0.56 eV per atom

a b c (Å): 4.690 3.951 6.261
angles (deg): 73.71 90.00 90.00
Positions (direct):
La1 0.500 0.266 0.326
La2 0.000 0.988 0.923
Al1 0.000 0.686 0.491
Au1 0.500 0.561 0.761

=====

VASP calculation (GGA-PBE) on an optimized crystal structure of SmNiGe2Os.

Properties
ΔE_f: -0.52 eV per atom

a b c (Å): 4.071 4.071 6.032
angles (deg): 109.72 109.72 90.00
Positions (direct):
Sm1 0.000 0.000 0.000
Ni1 0.250 0.750 0.500
Ge1 0.624 0.624 0.248
Ge2 0.376 0.376 0.752
Os1 0.750 0.250 0.500

=====

Number 1: DOS(E_F) 2.6 states/eV/f.u.. Number 2: DOS(E_F) 5.9 states/eV/f.u.. Number 3: DOS(E_F) 0.7 states/eV/f.u.. Number 4: DOS(E_F) 6.3 states/eV/f.u.. Number 5: DOS(E_F) 29.9 states/eV/f.u.. Number 6: DOS(E_F) 6.6 states/eV/f.u.. Number 7: DOS(E_F) 3.7 states/eV/f.u.. Number 8: DOS(E_F) 2.0 states/eV/f.u..